Density functional theory data (PBEsol) for a geometry-optimized LaCrRu2 structure.

Structure (extended XYZ):
```
4
Lattice="1.400 0.808 9.405 -1.400 0.808 9.405 0.000 -1.616 9.405" Properties=species:S:1:pos:R:3 pbc="T T T"
La 0.000 0.000 0.000
Cr 0.000 0.000 21.454
Ru 0.000 0.000 6.661
Ru 0.000 0.000 13.970
```

## Properties
ΔH_f (0 K) = 0.724 eV/atom
Crystal system = trigonal
Total DFT energy (no corrections) = -8.259 eV per atom
Energy relative to the lowest polymorph listed for this composition = 0.313 eV/atom

Density functional theory data (PBEsol) for a geometry-optimized LaCrRu structure.

Structure (extended XYZ):
```
3
Lattice="-1.509 1.509 5.870 1.509 -1.509 5.870 1.509 1.509 -5.870" Properties=species:S:1:pos:R:3 pbc="T T T"
La 0.000 0.000 0.000
Cr 0.000 0.000 8.212
Ru 0.000 0.000 3.464
```

## Properties
ΔH_f (0 K) = 0.274 eV/atom
Crystal system = tetragonal
Total DFT energy (no corrections) = -8.313 eV per atom

Density functional theory data (PBEsol) for a geometry-optimized LaCrRu2 structure.

Structure (extended XYZ):
```
4
Lattice="4.757 -1.493 0.000 4.757 1.493 0.000 -1.254 0.000 4.968" Properties=species:S:1:pos:R:3 pbc="T T T"
La 0.000 0.000 0.000
Cr 7.028 0.000 1.693
Ru 1.375 0.000 3.319
Ru 4.141 0.000 2.541
```

## Properties
ΔH_f (0 K) = 0.411 eV/atom
Crystal system = monoclinic
Total DFT energy (no corrections) = -8.572 eV per atom
Energy relative to the lowest polymorph listed for this composition = 0.000 eV/atom

Density functional theory data (PBEsol) for a geometry-optimized LaCrRu3 structure.

Structure (extended XYZ):
```
5
Lattice="4.694 0.000 0.000 0.000 4.694 0.000 0.000 0.000 4.694" Properties=species:S:1:pos:R:3 pbc="T T T"
La 0.000 0.000 0.000
Cr 2.347 2.347 2.347
Ru 0.000 0.000 2.347
Ru 0.000 2.347 0.000
Ru 2.347 0.000 0.000
```

## Properties
ΔH_f (0 K) = 2.100 eV/atom
Crystal system = cubic
Total DFT energy (no corrections) = -7.121 eV per atom

Density functional theory data (PBEsol) for a geometry-optimized LaCr3S structure.

Structure (extended XYZ):
```
5
Lattice="4.336 0.000 0.000 0.000 4.336 0.000 0.000 0.000 4.336" Properties=species:S:1:pos:R:3 pbc="T T T"
La 0.000 0.000 0.000
Cr 0.000 2.168 2.168
Cr 2.168 0.000 2.168
Cr 2.168 2.168 0.000
S 2.168 2.168 2.168
```

## Properties
Uncorrected formation energy = 0.26 eV per atom
Crystal system = cubic
Total DFT energy (no corrections) = -7.831 eV per atom

Density functional theory data (PBEsol) for a geometry-optimized LaCrS2 structure.

Structure (extended XYZ):
```
4
Lattice="0.000 3.387 3.387 3.387 0.000 3.387 3.387 3.387 0.000" Properties=species:S:1:pos:R:3 pbc="T T T"
La 0.000 0.000 0.000
Cr 3.387 3.387 3.387
S 1.693 1.693 1.693
S 5.080 5.080 5.080
```

## Properties
Uncorrected formation energy = -1.01 eV per atom
Crystal system = cubic
Total DFT energy (no corrections) = -7.099 eV per atom